No. 1
Density functional theory data (PBE) for a relaxed HoGeSb2 crystal.

Cell lengths 4.701, 4.701, 8.519 Å; angles 73.98, 73.98, 60.00 degrees
Fractional positions:
Ge 0.000 0.000 0.000
Ho 0.500 0.500 0.500
Sb 0.894 0.894 0.317
Sb 0.106 0.106 0.683

Summary:
Total DFT energy (no corrections) ... -16.97 eV/cell
SG ... R-3m (166)
Energy above the most stable polymorph in this dataset ... 0.4608 eV/atom
N(E_F) ... 0.720 states/eV per atom

No. 2
Density functional theory data (PBE) for a relaxed Ca2YCuNi crystal.

Cell lengths 5.339, 5.119, 5.339 Å; angles 90.00, 90.00, 90.00 degrees
Fractional positions:
Ni 0.000 0.000 0.000
Cu 0.500 0.500 0.500
Y 0.000 0.500 0.000
Ca 0.500 0.000 0.000
Ca 0.000 0.000 0.500

Summary:
Total DFT energy (no corrections) ... -19.61 eV/cell
SG ... P4/mmm (123)
Energy of formation from the pure elements ... 0.147 eV per atom
N(E_F) ... 0.613 states/eV per atom

No. 3
Density functional theory data (PBE) for a relaxed ReSe2Br crystal.

Cell lengths 7.205, 7.205, 7.205 Å; angles 154.47, 142.57, 45.86 degrees
Fractional positions:
Se 0.276 0.776 0.500
Se 0.889 0.889 0.000
Br 0.588 0.588 0.000
Re 0.746 0.246 0.500

Summary:
Total DFT energy (no corrections) ... -19.89 eV/cell
SG ... Imm2 (44)
Energy above the most stable polymorph in this dataset ... 0.3096 eV/atom
N(E_F) ... 0.661 states/eV per atom

No. 4
Density functional theory data (PBE) for a relaxed Mg3SbN crystal.

Cell lengths 8.106, 8.106, 5.451 Å; angles 90.00, 90.00, 135.49 degrees
Fractional positions:
N 0.910 0.090 0.750
N 0.090 0.910 0.250
Mg 0.000 0.000 0.000
Mg 0.418 0.062 0.250
Mg 0.062 0.418 0.750
Mg 0.938 0.582 0.250
Mg 0.000 0.000 0.500
Mg 0.582 0.938 0.750
Sb 0.350 0.650 0.250
Sb 0.650 0.350 0.750

Summary:
Total DFT energy (no corrections) ... -36.95 eV/cell
SG ... Cmcm (63)
N(E_F) ... 0.002 states/eV per atom

No. 5
Density functional theory data (PBE) for a relaxed CePr4H10 crystal.

Cell lengths 3.906, 3.906, 16.137 Å; angles 83.05, 83.05, 60.00 degrees
Last column: magnetic moment on the atom in μB.
Fractional positions:
H 0.049 0.049 0.852  0.00
H 0.850 0.850 0.450  0.00
H 0.750 0.750 0.750  0.00
H 0.550 0.550 0.349  0.00
H 0.651 0.651 0.047  0.00
H 0.150 0.150 0.550  0.00
H 0.951 0.951 0.148  0.00
H 0.250 0.250 0.250  0.00
H 0.349 0.349 0.953  0.00
H 0.450 0.450 0.651  0.00
Pr 0.200 0.200 0.400  0.00
Pr 0.800 0.800 0.600  0.00
Pr 0.601 0.601 0.198  -0.01
Pr 0.399 0.399 0.802  -0.01
Ce 0.000 0.000 0.000  0.75

Summary:
Total DFT energy (no corrections) ... -67.74 eV/cell
SG ... R-3m (166)
N(E_F) ... 0.698 states/eV per atom

No. 6
Density functional theory data (PBE) for a relaxed NdGdRh crystal.

Cell lengths 4.899, 4.899, 4.899 Å; angles 60.00, 60.00, 60.00 degrees
Last column: magnetic moment on the atom in μB.
Fractional positions:
Nd 0.500 0.500 0.500  0.05
Gd 0.000 0.000 0.000  7.10
Rh 0.250 0.250 0.250  -0.06

Summary:
Total DFT energy (no corrections) ... -27.68 eV/cell
SG ... F-43m (216)
Energy of formation from the pure elements ... -0.493 eV per atom
Energy above the most stable polymorph in this dataset ... 0.0000 eV/atom
N(E_F) ... 1.285 states/eV per atom